[1]
{
  "formula": "KTmF4",
  "functional": "PBE",
  "state": "optimized geometry",
  "e_tot_ev_per_atom": -5.9036,
  "dos_ef_per_ev_atom": 0.000,
  "lattice": [[6.064, 0.000, 0.000], [0.000, 3.560, 0.000], [0.000, 0.000, 15.508]],
  "species": ["K", "K", "K", "K", "Tm", "Tm", "Tm", "Tm", "F", "F", "F", "F", "F", "F", "F", "F", "F", "F", "F", "F", "F", "F", "F", "F"],
  "frac_coords": [[0.225, 0.250, 0.201], [0.275, 0.750, 0.701], [0.725, 0.250, 0.299], [0.775, 0.750, 0.799], [0.250, 0.250, 0.942], [0.250, 0.750, 0.442], [0.750, 0.250, 0.558], [0.750, 0.750, 0.058], [0.004, 0.250, 0.056], [0.097, 0.250, 0.815], [0.109, 0.250, 0.371], [0.132, 0.250, 0.536], [0.368, 0.750, 0.036], [0.391, 0.750, 0.871], [0.403, 0.750, 0.315], [0.496, 0.750, 0.556], [0.504, 0.250, 0.444], [0.597, 0.250, 0.685], [0.609, 0.250, 0.129], [0.632, 0.250, 0.964], [0.868, 0.750, 0.464], [0.891, 0.750, 0.629], [0.903, 0.750, 0.185], [0.996, 0.750, 0.944]]
}

[2]
{
  "formula": "K2PmRh3O8",
  "functional": "PBE",
  "state": "optimized geometry",
  "e_tot_ev_per_atom": -6.2038,
  "lattice": [[3.210, 1.853, 5.849], [-3.210, 1.853, 5.849], [0.000, -3.706, 5.849]],
  "species": ["K", "K", "Pm", "Rh", "Rh", "Rh", "O", "O", "O", "O", "O", "O", "O", "O"],
  "frac_coords": [[0.000, 0.000, 0.000], [0.364, 0.364, 0.364], [0.761, 0.761, 0.761], [0.366, 0.366, 0.876], [0.366, 0.876, 0.366], [0.876, 0.366, 0.366], [0.106, 0.106, 0.552], [0.106, 0.552, 0.106], [0.144, 0.144, 0.144], [0.170, 0.626, 0.626], [0.552, 0.106, 0.106], [0.599, 0.599, 0.599], [0.626, 0.170, 0.626], [0.626, 0.626, 0.170]]
}

[3]
{
  "formula": "Sc2Zn2O5",
  "functional": "PBE",
  "state": "optimized geometry",
  "e_tot_ev_per_atom": -6.9615,
  "dos_ef_per_ev_atom": 0.000,
  "lattice": [[1.687, 0.974, 11.536], [-1.687, 0.974, 11.536], [0.000, -1.948, 11.536]],
  "species": ["Sc", "Sc", "Zn", "Zn", "O", "O", "O", "O", "O"],
  "frac_coords": [[0.000, 0.000, 0.000], [0.166, 0.166, 0.166], [0.586, 0.586, 0.586], [0.747, 0.747, 0.747], [0.062, 0.062, 0.062], [0.529, 0.529, 0.529], [0.667, 0.667, 0.667], [0.805, 0.805, 0.805], [0.938, 0.938, 0.938]]
}

no.,E_form (uncorrected) (meV/atom)
1,-3727.9
2,-1299.1
3,-2516.8